(1)
Here is a relaxed HfAsOs crystal from OQMD via LeMat-Bulk. Energies are from PBE-GGA.

Lattice parameters (Å, degrees): 7.1156 7.1156 3.5256 90.00 90.00 120.00
Closest atoms and distances in Å follow each position.
Sites, in units of the cell vectors:
As 0.2665 0.0000 0.0000  4 Os 2.59-2.64
As 0.0000 0.2665 0.0000  4 Os 2.59-2.64
As 0.7335 0.7335 0.0000  4 Os 2.59-2.64
Hf 0.6086 0.0000 0.5000  5 Os 2.79-2.81, 6 As 3.01-3.03
Hf 0.3914 0.3914 0.5000  5 Os 2.79-2.81, 6 As 3.01-3.03
Hf 0.0000 0.6086 0.5000  5 Os 2.79-2.81, 6 As 3.01-3.03
Os 0.6667 0.3333 0.0000  3 As 2.64, 6 Hf 2.81
Os 0.3333 0.6667 0.0000  3 As 2.64, 6 Hf 2.81
Os 0.0000 0.0000 0.5000  6 As 2.59, 3 Hf 2.79

Computed properties:
SG = No. 189

=====

(2)
Here is a relaxed HfAsOs crystal from OQMD via LeMat-Bulk. Energies are from PBE-GGA.

Lattice parameters (Å, degrees): 6.5665 6.5665 3.9696 90.00 90.00 120.00
Closest atoms and distances in Å follow each position.
Sites, in units of the cell vectors:
As 0.6667 0.3333 0.0000  3 Os 2.52, 6 Hf 2.79
As 0.3333 0.6667 0.0000  3 Os 2.52, 6 Hf 2.79
As 0.0000 0.0000 0.5000  6 Os 2.56, 3 Hf 2.77
Hf 0.5784 0.0000 0.5000  5 As 2.77-2.79, 2 Os 2.95
Hf 0.4216 0.4216 0.5000  5 As 2.77-2.79, 2 Os 2.95
Hf 0.0000 0.5784 0.5000  5 As 2.77-2.79, 2 Os 2.95
Os 0.2463 0.0000 0.0000  4 As 2.52-2.56, 2 Os 2.80
Os 0.0000 0.2464 0.0000  4 As 2.52-2.56, 2 Os 2.80
Os 0.7536 0.7536 0.0000  4 As 2.52-2.56, 2 Os 2.80

Computed properties:
SG = No. 189

=====

Number 1: E_tot -9.066 eV/atom. Number 2: E_tot -9.174 eV/atom.